A) The following is a PBE calculation of a relaxed structure of PmZnPt, from Alexandria via LeMat-Bulk.

```
data_PmZnPt
_chemical_formula_sum 'Pm16 Zn16 Pt16'
_cell_length_a 7.6710
_cell_length_b 11.4713
_cell_length_c 12.3064
_cell_angle_alpha 90.00
_cell_angle_beta 90.00
_cell_angle_gamma 90.00
_space_group_name_H-M_alt 'F d d d'
_space_group_IT_number 70
loop_
_space_group_symop_operation_xyz
'x,y,z'
'-x,-y,-z'
'-x+1/4,-y+1/4,z'
'x+1/4,y+1/4,-z'
'x,-y+1/4,-z+1/4'
'-x,y+1/4,z+1/4'
'-x+1/4,y,-z+1/4'
'x+1/4,-y,z+1/4'
'x,y+1/2,z+1/2'
'-x,-y+1/2,-z+1/2'
'-x+1/4,-y+3/4,z+1/2'
'x+1/4,y+3/4,-z+1/2'
'x,-y+3/4,-z+3/4'
'-x,y+3/4,z+3/4'
'-x+1/4,y+1/2,-z+3/4'
'x+1/4,-y+1/2,z+3/4'
'x+1/2,y,z+1/2'
'-x+1/2,-y,-z+1/2'
'-x+3/4,-y+1/4,z+1/2'
'x+3/4,y+1/4,-z+1/2'
'x+1/2,-y+1/4,-z+3/4'
'-x+1/2,y+1/4,z+3/4'
'-x+3/4,y,-z+3/4'
'x+3/4,-y,z+3/4'
'x+1/2,y+1/2,z'
'-x+1/2,-y+1/2,-z'
'-x+3/4,-y+3/4,z'
'x+3/4,y+3/4,-z'
'x+1/2,-y+3/4,-z+1/4'
'-x+1/2,y+3/4,z+1/4'
'-x+3/4,y+1/2,-z+1/4'
'x+3/4,-y+1/2,z+1/4'
loop_
_atom_site_label
_atom_site_fract_x
_atom_site_fract_y
_atom_site_fract_z
Pm1 0.0000 0.0000 0.0000
Zn1 0.1250 0.0034 0.6250
Pt1 0.1250 0.1250 0.4446
```

DOS at the Fermi energy	32.902	states/eV per cell



B) The following is a PBE calculation of a relaxed structure of PmZnPt, from Alexandria via LeMat-Bulk.

```
data_PmZnPt
_chemical_formula_sum 'Pm2 Zn2 Pt2'
_cell_length_a 2.9861
_cell_length_b 2.9861
_cell_length_c 15.0322
_cell_angle_alpha 90.00
_cell_angle_beta 90.00
_cell_angle_gamma 90.00
_space_group_name_H-M_alt 'I 4 m m'
_space_group_IT_number 107
_space_group_name_Hall 'I 4 -2'
loop_
_atom_site_label
_atom_site_fract_x
_atom_site_fract_y
_atom_site_fract_z
Pm1 0.0000 0.0000 0.0000
Zn1 0.0000 0.0000 0.6571
Pt1 0.0000 0.0000 0.8211
```

DOS at the Fermi energy	2.577	states/eV per cell



A) is the most stable structure; the next one sits 789 meV/atom above it.



A) The following is a PBE calculation of a relaxed structure of Pm4ZnPt, from Alexandria via LeMat-Bulk.

```
data_Pm4ZnPt
_chemical_formula_sum 'Pm64 Zn16 Pt16'
_cell_length_a 13.8825
_cell_length_b 13.8825
_cell_length_c 13.8825
_cell_angle_alpha 90.00
_cell_angle_beta 90.00
_cell_angle_gamma 90.00
_space_group_name_H-M_alt 'F -4 3 m'
_space_group_IT_number 216
_space_group_name_Hall 'F -4 2 3'
loop_
_atom_site_label
_atom_site_fract_x
_atom_site_fract_y
_atom_site_fract_z
Pm1 0.0000 0.0000 0.1861
Pm2 0.0566 0.2500 0.7500
Pm3 0.1054 0.1054 0.3946
Zn1 0.1700 0.1700 0.1700
Pt1 0.1056 0.1056 0.6056
```

DOS at the Fermi energy	65.983	states/eV per cell



B) The following is a PBE calculation of a relaxed structure of Pm4ZnPt, from Alexandria via LeMat-Bulk.

```
data_Pm4ZnPt
_chemical_formula_sum 'Pm8 Zn2 Pt2'
_cell_length_a 7.0727
_cell_length_b 7.0727
_cell_length_c 7.1611
_cell_angle_alpha 90.00
_cell_angle_beta 90.08
_cell_angle_gamma 90.00
_space_group_name_H-M_alt 'C 1 2/m 1'
_space_group_IT_number 12
loop_
_space_group_symop_operation_xyz
'x,y,z'
'-x,-y,-z'
'-x,y,-z'
'x,-y,z'
'x+1/2,y+1/2,z'
'-x+1/2,-y+1/2,-z'
'-x+1/2,y+1/2,-z'
'x+1/2,-y+1/2,z'
loop_
_atom_site_label
_atom_site_fract_x
_atom_site_fract_y
_atom_site_fract_z
Pm1 0.2496 0.2498 0.2441
Zn1 0.0000 0.0000 0.5000
Pt1 0.0000 0.5000 0.0000
```

DOS at the Fermi energy	19.623	states/eV per cell



A) is the most stable structure; the next one sits 163 meV/atom above it.



A) The following is a PBE calculation of a relaxed structure of Pm2ZnPt, from Alexandria via LeMat-Bulk.

```
data_Pm2ZnPt
_chemical_formula_sum 'Pm8 Zn4 Pt4'
_cell_length_a 7.2379
_cell_length_b 7.2379
_cell_length_c 7.2379
_cell_angle_alpha 90.00
_cell_angle_beta 90.00
_cell_angle_gamma 90.00
_space_group_name_H-M_alt 'F m -3 m'
_space_group_IT_number 225
_space_group_name_Hall '-F 4 2 3'
loop_
_atom_site_label
_atom_site_fract_x
_atom_site_fract_y
_atom_site_fract_z
Pm1 0.2500 0.2500 0.2500
Zn1 0.0000 0.0000 0.0000
Pt1 0.0000 0.0000 0.5000
```

DOS at the Fermi energy	11.935	states/eV per cell



B) The following is a PBE calculation of a relaxed structure of Pm2ZnPt, from Alexandria via LeMat-Bulk.

```
data_Pm2ZnPt
_chemical_formula_sum 'Pm2 Zn1 Pt1'
_cell_length_a 3.6511
_cell_length_b 3.6511
_cell_length_c 7.1390
_cell_angle_alpha 90.00
_cell_angle_beta 90.00
_cell_angle_gamma 90.00
_space_group_name_H-M_alt 'P 4/m m m'
_space_group_IT_number 123
_space_group_name_Hall '-P 4 2'
loop_
_atom_site_label
_atom_site_fract_x
_atom_site_fract_y
_atom_site_fract_z
Pm1 0.0000 0.0000 0.2410
Zn1 0.5000 0.5000 0.5000
Pt1 0.5000 0.5000 0.0000
```

DOS at the Fermi energy	4.157	states/eV per cell



C) The following is a PBE calculation of a relaxed structure of Pm2ZnPt, from Alexandria via LeMat-Bulk.

```
data_Pm2ZnPt
_chemical_formula_sum 'Pm4 Zn2 Pt2'
_cell_length_a 5.9803
_cell_length_b 4.5699
_cell_length_c 7.7554
_cell_angle_alpha 90.00
_cell_angle_beta 112.06
_cell_angle_gamma 90.00
_space_group_name_H-M_alt 'P 1 21/m 1'
_space_group_IT_number 11
loop_
_space_group_symop_operation_xyz
'x,y,z'
'-x,-y,-z'
'-x,y+1/2,-z'
'x,-y+1/2,z'
loop_
_atom_site_label
_atom_site_fract_x
_atom_site_fract_y
_atom_site_fract_z
Pm1 0.1830 0.2500 0.4156
Pm2 0.2824 0.7500 0.0699
Zn1 0.3727 0.7500 0.7066
Pt1 0.1479 0.2500 0.7887
```

DOS at the Fermi energy	5.778	states/eV per cell



C) is the most stable structure; the next one sits 51 meV/atom above it.



A) The following is a PBE calculation of a relaxed structure of Pm3ZnPt2, from Alexandria via LeMat-Bulk.

```
data_Pm3ZnPt2
_chemical_formula_sum 'Pm12 Zn4 Pt8'
_cell_length_a 12.1963
_cell_length_b 4.0594
_cell_length_c 12.0488
_cell_angle_alpha 90.00
_cell_angle_beta 90.00
_cell_angle_gamma 90.00
_space_group_name_H-M_alt 'P n m a'
_space_group_IT_number 62
loop_
_space_group_symop_operation_xyz
'x,y,z'
'-x,-y,-z'
'-x+1/2,-y,z+1/2'
'x+1/2,y,-z+1/2'
'x+1/2,-y+1/2,-z+1/2'
'-x+1/2,y+1/2,z+1/2'
'-x,y+1/2,-z'
'x,-y+1/2,z'
loop_
_atom_site_label
_atom_site_fract_x
_atom_site_fract_y
_atom_site_fract_z
Pm1 0.0521 0.2500 0.1268
Pm2 0.1317 0.7500 0.5728
Pm3 0.2068 0.2500 0.8208
Zn1 0.1198 0.2500 0.3777
Pt1 0.0040 0.7500 0.3086
Pt2 0.1850 0.7500 0.9941
```

DOS at the Fermi energy	18.416	states/eV per cell



B) The following is a PBE calculation of a relaxed structure of Pm3ZnPt2, from Alexandria via LeMat-Bulk.

```
data_Pm3ZnPt2
_chemical_formula_sum 'Pm3 Zn1 Pt2'
_cell_length_a 3.6520
_cell_length_b 3.6520
_cell_length_c 10.5579
_cell_angle_alpha 90.00
_cell_angle_beta 90.00
_cell_angle_gamma 90.00
_space_group_name_H-M_alt 'P 4/m m m'
_space_group_IT_number 123
_space_group_name_Hall '-P 4 2'
loop_
_atom_site_label
_atom_site_fract_x
_atom_site_fract_y
_atom_site_fract_z
Pm1 0.0000 0.0000 0.0000
Pm2 0.0000 0.0000 0.3270
Zn1 0.5000 0.5000 0.5000
Pt1 0.5000 0.5000 0.1674
```

DOS at the Fermi energy	4.987	states/eV per cell



A) is the most stable structure; the next one sits 35 meV/atom above it.



A) The following is a PBE calculation of a relaxed structure of Pm4Zn3Pt, from Alexandria via LeMat-Bulk.

```
data_Pm4Zn3Pt
_chemical_formula_sum 'Pm4 Zn3 Pt1'
_cell_length_a 3.6666
_cell_length_b 3.6666
_cell_length_c 14.3901
_cell_angle_alpha 90.00
_cell_angle_beta 90.00
_cell_angle_gamma 90.00
_space_group_name_H-M_alt 'P 4/m m m'
_space_group_IT_number 123
_space_group_name_Hall '-P 4 2'
loop_
_atom_site_label
_atom_site_fract_x
_atom_site_fract_y
_atom_site_fract_z
Pm1 0.0000 0.0000 0.1182
Pm2 0.0000 0.0000 0.3735
Zn1 0.5000 0.5000 0.2506
Zn2 0.5000 0.5000 0.5000
Pt1 0.5000 0.5000 0.0000
```

DOS at the Fermi energy	7.080	states/eV per cell



B) The following is a PBE calculation of a relaxed structure of Pm4Zn3Pt, from Alexandria via LeMat-Bulk.

```
data_Pm4Zn3Pt
_chemical_formula_sum 'Pm4 Zn3 Pt1'
_cell_length_a 3.8585
_cell_length_b 4.5927
_cell_length_c 11.2335
_cell_angle_alpha 90.00
_cell_angle_beta 90.00
_cell_angle_gamma 90.00
_space_group_name_H-M_alt 'P m m 2'
_space_group_IT_number 25
loop_
_space_group_symop_operation_xyz
'x,y,z'
'-x,-y,z'
'-x,y,z'
'x,-y,z'
loop_
_atom_site_label
_atom_site_fract_x
_atom_site_fract_y
_atom_site_fract_z
Pm1 0.0000 0.0000 0.0000
Pm2 0.0000 0.5000 0.2754
Pm3 0.5000 0.0000 0.4794
Pm4 0.5000 0.5000 0.7830
Zn1 0.0000 0.0000 0.7027
Zn2 0.0000 0.5000 0.5614
Zn3 0.5000 0.5000 0.0610
Pt1 0.5000 0.0000 0.2068
```

DOS at the Fermi energy	8.441	states/eV per cell



A) is the most stable structure; the next one sits 18 meV/atom above it.



A) The following is a PBE calculation of a relaxed structure of Pm2ZnPt3, from Alexandria via LeMat-Bulk.

```
data_Pm2ZnPt3
_chemical_formula_sum 'Pm4 Zn2 Pt6'
_cell_length_a 5.6191
_cell_length_b 5.6191
_cell_length_c 8.5348
_cell_angle_alpha 90.00
_cell_angle_beta 90.00
_cell_angle_gamma 120.00
_space_group_name_H-M_alt 'P 63/m m c'
_space_group_IT_number 194
_space_group_name_Hall '-P 6c 2c'
loop_
_atom_site_label
_atom_site_fract_x
_atom_site_fract_y
_atom_site_fract_z
Pm1 0.3333 0.6667 0.0596
Zn1 0.0000 0.0000 0.0000
Pt1 0.1673 0.3346 0.7500
```

DOS at the Fermi energy	4.785	states/eV per cell



B) The following is a PBE calculation of a relaxed structure of Pm2ZnPt3, from Alexandria via LeMat-Bulk.

```
data_Pm2ZnPt3
_chemical_formula_sum 'Pm16 Zn8 Pt24'
_cell_length_a 7.4070
_cell_length_b 8.8726
_cell_length_c 15.7166
_cell_angle_alpha 90.00
_cell_angle_beta 90.00
_cell_angle_gamma 90.00
_space_group_name_H-M_alt 'F m m m'
_space_group_IT_number 69
_space_group_name_Hall '-F 2 2'
loop_
_atom_site_label
_atom_site_fract_x
_atom_site_fract_y
_atom_site_fract_z
Pm1 0.2478 0.0000 0.0000
Pm2 0.2500 0.2500 0.2500
Zn1 0.0000 0.0000 0.3342
Pt1 0.0000 0.0000 0.1748
Pt2 0.0000 0.2428 0.4149
```

DOS at the Fermi energy	31.800	states/eV per cell



A) is the most stable structure; the next one sits 55 meV/atom above it.